Entry 1:
Th2UCo12Ni3 | PBE | optimized geometry

Cell and atoms, written as CIF:
```
data_Th2UCo12Ni3
_cell_length_a 6.329
_cell_length_b 6.329
_cell_length_c 6.329
_cell_angle_alpha 82.68
_cell_angle_beta 82.68
_cell_angle_gamma 82.68
_symmetry_space_group_name_H-M 'P 1'
_symmetry_Int_Tables_number 1
loop_
_symmetry_equiv_pos_as_xyz
'x,y,z'
loop_
_atom_site_label
_atom_site_fract_x
_atom_site_fract_y
_atom_site_fract_z
_atom_site_occupancy
Th1 0.217 0.217 0.217 1
Th2 0.783 0.783 0.783 1
U1 0.500 0.500 0.500 1
Co1 0.081 0.081 0.645 1
Co2 0.081 0.645 0.081 1
Co3 0.231 0.704 0.704 1
Co4 0.296 0.296 0.769 1
Co5 0.296 0.769 0.296 1
Co6 0.355 0.919 0.919 1
Co7 0.645 0.081 0.081 1
Co8 0.704 0.231 0.704 1
Co9 0.704 0.704 0.231 1
Co10 0.769 0.296 0.296 1
Co11 0.919 0.355 0.919 1
Co12 0.919 0.919 0.355 1
Ni1 0.000 0.500 0.500 1
Ni2 0.500 0.000 0.500 1
Ni3 0.500 0.500 0.000 1
```

Space-group type: No. 166

---

Entry 2:
Y2BiSb2 | PBE | optimized geometry

Cell and atoms, written as CIF:
```
data_Y2BiSb2
_cell_length_a 8.665
_cell_length_b 8.665
_cell_length_c 8.665
_cell_angle_alpha 151.49
_cell_angle_beta 151.49
_cell_angle_gamma 40.76
_symmetry_space_group_name_H-M 'P 1'
_symmetry_Int_Tables_number 1
loop_
_symmetry_equiv_pos_as_xyz
'x,y,z'
loop_
_atom_site_label
_atom_site_fract_x
_atom_site_fract_y
_atom_site_fract_z
_atom_site_occupancy
Y1 0.105 0.105 0.000 1
Y2 0.895 0.895 0.000 1
Bi1 0.500 0.500 0.000 1
Sb1 0.250 0.750 0.500 1
Sb2 0.750 0.250 0.500 1
```

Space-group type: No. 139
Uncorrected formation energy in kJ per mole of atoms: -67.0
Energy above the lowest structure with this stoichiometry in eV per atom: 0.018

---

Entry 3:
Sc3CrRu | PBE | optimized geometry

Cell and atoms, written as CIF:
```
data_Sc3CrRu
_cell_length_a 4.634
_cell_length_b 4.634
_cell_length_c 4.634
_cell_angle_alpha 90.00
_cell_angle_beta 90.00
_cell_angle_gamma 90.00
_symmetry_space_group_name_H-M 'P 1'
_symmetry_Int_Tables_number 1
loop_
_symmetry_equiv_pos_as_xyz
'x,y,z'
loop_
_atom_site_label
_atom_site_fract_x
_atom_site_fract_y
_atom_site_fract_z
_atom_site_occupancy
Sc1 0.000 0.000 0.500 1
Sc2 0.000 0.500 0.000 1
Sc3 0.500 0.000 0.000 1
Cr1 0.000 0.000 0.000 1
Ru1 0.500 0.500 0.500 1
```

Space-group type: No. 221
Energy above the lowest structure with this stoichiometry in eV per atom: 0.457

---

Entry 4:
AcEuPtRh | PBE | optimized geometry

Cell and atoms, written as CIF:
```
data_AcEuPtRh
_cell_length_a 5.169
_cell_length_b 5.169
_cell_length_c 5.169
_cell_angle_alpha 60.00
_cell_angle_beta 60.00
_cell_angle_gamma 60.00
_symmetry_space_group_name_H-M 'P 1'
_symmetry_Int_Tables_number 1
loop_
_symmetry_equiv_pos_as_xyz
'x,y,z'
loop_
_atom_site_label
_atom_site_fract_x
_atom_site_fract_y
_atom_site_fract_z
_atom_site_occupancy
Ac1 0.000 0.000 0.000 1
Eu1 0.500 0.500 0.500 1
Pt1 0.250 0.250 0.250 1
Rh1 0.750 0.750 0.750 1
```

Space-group type: No. 216

---

Number 1: energy -7.10 eV per atom, N(E_F) 1.123 states/eV per atom. Number 2: energy -5.71 eV per atom, N(E_F) 0.507 states/eV per atom. Number 3: energy -6.88 eV per atom, N(E_F) 1.127 states/eV per atom. Number 4: energy -7.66 eV per atom, N(E_F) 3.031 states/eV per atom.